LaZn2TcSn | PBE-GGA | relaxed

## Properties
ΔE_f   21.8 kJ/mol of atoms
DFT total energy   -0.30449 Ry per atom
Spin magnetization   0.0000 μB per atom

Unit cell a=5.003 b=5.020 c=5.003 alpha=90.00 beta=90.00 gamma=90.00
Positions (direct):
1 Zn 0.000 0.000 0.500
2 Zn 0.500 0.000 0.000
3 Tc 0.000 0.000 0.000
4 Sn 0.500 0.500 0.500
5 La 0.000 0.500 0.000